The following is a PBE calculation of a geometry-optimized ReSi2Pt structure, from Alexandria.

Calculated values
Total energy, eV per atom: -7.528
Volume, Å³/cell: 57.1

a = 4.2751 Å, b = 4.2751 Å, c = 4.9977 Å
α = 102.04°, β = 102.04°, γ = 39.88°
Last column: nearest neighbours and their distance in Å.
Positions (direct):
Re 0.0000 0.0000 0.0000  6 Si 2.51-2.53
Si 0.2537 0.2537 0.7766  3 Re 2.51-2.53, 3 Pt 2.64-2.65, 2 Si 2.68
Si 0.7463 0.7463 0.2234  3 Re 2.51-2.53, 3 Pt 2.64-2.65, 2 Si 2.68
Pt 0.5000 0.5000 0.5000  6 Si 2.64-2.65, 4 Re 2.89, 2 Pt 2.92

The following is a PBE calculation of a geometry-optimized LiCaTlC2 structure, from Alexandria.

Calculated values
Total energy, eV per atom: -2.869
E_form, meV/atom: 2077
Volume, Å³/cell: 125.7

a = 4.6738 Å, b = 4.6738 Å, c = 5.7547 Å
α = 90.00°, β = 90.00°, γ = 90.00°
Last column: nearest neighbours and their distance in Å.
Positions (direct):
Li 0.0000 0.0000 0.0000  4 Tl 3.30
Ca 0.5000 0.5000 0.5000  4 C 2.34
Tl 0.5000 0.5000 0.0000  2 Ca 2.88
C 0.0000 0.5000 0.5000  2 Ca 2.34
C 0.5000 0.0000 0.5000  2 Ca 2.34

The following is a PBE calculation of a geometry-optimized Cs2CdBrCl3 structure, from Alexandria.

Calculated values
Total energy, eV per atom: -2.975
Volume, Å³/cell: 258.5

a = 9.4108 Å, b = 9.4108 Å, c = 9.4108 Å
α = 146.56°, β = 145.59°, γ = 48.74°
Last column: nearest neighbours and their distance in Å.
Positions (direct):
Cs 0.1440 0.1440 0.0000  7 Cl 3.48-3.89, 2 Br 3.66
Cs 0.8560 0.8560 0.0000  7 Cl 3.48-3.89, 2 Br 3.66
Cd 0.5000 0.5000 0.0000  4 Cl 2.62-2.71, 2 Br 2.78
Br 0.0000 0.5000 0.5000  2 Cd 2.78
Cl 0.3472 0.3472 0.0000  1 Cd 2.62
Cl 0.5000 0.0000 0.5000  2 Cd 2.71
Cl 0.6528 0.6528 0.0000  1 Cd 2.62